VASP calculation (PBE) on a relaxed Ac2InAs crystal.

```
data_Ac2InAs
_chemical_formula_sum 'Ac2 In1 As1'
_cell_length_a 3.9959
_cell_length_b 3.9959
_cell_length_c 7.9225
_cell_angle_alpha 90.00
_cell_angle_beta 90.00
_cell_angle_gamma 90.00
_space_group_name_H-M_alt 'P 4/m m m'
_space_group_IT_number 123
_space_group_name_Hall '-P 4 2'
loop_
_atom_site_label
_atom_site_fract_x
_atom_site_fract_y
_atom_site_fract_z
_atom_site_occupancy
Ac1 0.0000 0.0000 0.2272 1
In1 0.5000 0.5000 0.5000 1
As1 0.5000 0.5000 0.0000 1
```

Results
Its crystal system is tetragonal. As for the total magnetization: 0.0 μB/f.u. The energy relative to the lowest polymorph listed for this composition is 0.092 eV per atom.